{
  "formula": "PrSmTl2",
  "functional": "PBE",
  "state": "optimized geometry",
  "e_form_ev_per_atom": -0.391,
  "space_group": "P4/mmm, No. 123",
  "lattice": [[-0.569, -1.758, 3.435], [2.649, -2.702, -0.944], [5.599, 4.381, 3.170]],
  "species": ["Sm", "Pr", "Tl", "Tl"],
  "fractional_positions": [[0.500, 0.500, 0.000], [0.500, 0.500, 0.500], [0.000, 0.000, 0.757], [0.000, 0.000, 0.243]]
}

---

{
  "formula": "TaNb2B",
  "functional": "PBE",
  "state": "optimized geometry",
  "e_form_ev_per_atom": 0.224,
  "space_group": "I-42d, No. 122",
  "lattice": [[-4.130, 0.598, 6.204], [3.607, -5.840, 2.964], [1.328, -1.173, 5.503]],
  "species": ["B", "B", "Nb", "Nb", "Nb", "Nb", "Ta", "Ta"],
  "fractional_positions": [[0.250, 0.750, 0.500], [0.500, 0.500, 0.000], [0.375, 0.465, 0.750], [0.875, 0.785, 0.750], [0.535, 0.125, 0.250], [0.215, 0.625, 0.250], [0.750, 0.250, 0.500], [0.000, 0.000, 0.000]]
}

---

{
  "formula": "Zr3FeAu",
  "functional": "PBE",
  "state": "optimized geometry",
  "e_form_ev_per_atom": -0.262,
  "space_group": "C2/m, No. 12",
  "lattice": [[0.082, 5.415, -0.373], [0.163, 2.655, 4.732], [7.685, 3.899, 1.985]],
  "species": ["Au", "Au", "Zr", "Zr", "Zr", "Zr", "Zr", "Zr", "Fe", "Fe"],
  "fractional_positions": [[0.726, 0.274, 0.500], [0.274, 0.726, 0.500], [0.947, 0.947, 0.260], [0.053, 0.053, 0.740], [0.706, 0.706, 0.740], [0.294, 0.294, 0.260], [0.306, 0.306, 0.888], [0.694, 0.694, 0.112], [0.250, 0.750, 0.000], [0.750, 0.250, 0.000]]
}